*A*
# Sn3P4O14

An optimized crystal structure of Sn3P4O14 (PBEsol, the Alexandria database).

a b c (Å): 8.663 8.911 8.365
angles (deg): 90.00 106.36 90.00
Space group P2_1/c (No. 14)
Inequivalent atoms, fractional coordinates:
Sn1 0.000 0.000 0.000 [2 per cell]
Sn2 0.253 0.080 0.638 [4 per cell]
P1 0.133 0.699 0.837 [4 per cell]
P2 0.353 0.017 0.278 [4 per cell]
O1 0.001 0.661 0.673 [4 per cell]
O2 0.120 0.607 0.985 [4 per cell]
O3 0.129 0.632 0.368 [4 per cell]
O4 0.217 0.081 0.129 [4 per cell]
O5 0.301 0.657 0.801 [4 per cell]
O6 0.357 0.106 0.434 [4 per cell]
O7 0.490 0.511 0.266 [4 per cell]

Total magnetization   0.000 μB per formula unit

*B*
# Sn3P4O14

An optimized crystal structure of Sn3P4O14 (PBEsol, the Alexandria database).

a b c (Å): 5.519 7.028 8.984
angles (deg): 89.39 83.68 68.25
Space group P-1 (No. 2)
Inequivalent atoms, fractional coordinates:
Sn1 0.000 0.000 0.000 [1 per cell]
Sn2 0.165 0.597 0.325 [2 per cell]
P1 0.229 0.653 0.715 [2 per cell]
P2 0.346 0.306 0.957 [2 per cell]
O1 0.062 0.594 0.612 [2 per cell]
O2 0.067 0.857 0.798 [2 per cell]
O3 0.186 0.185 0.903 [2 per cell]
O4 0.243 0.407 0.109 [2 per cell]
O5 0.320 0.477 0.834 [2 per cell]
O6 0.357 0.819 0.066 [2 per cell]
O7 0.480 0.654 0.628 [2 per cell]

Total magnetization   0.000 μB per formula unit

Which is most stable, and by how much? *A*, by 13 meV per atom.

*A*
# Sn4P3O12

An optimized crystal structure of Sn4P3O12 (PBEsol, the Alexandria database).

a b c (Å): 9.5943 9.5943 6.8957
angles (deg): 90.00 90.00 120.00
Space group P6_3 (No. 173)
Inequivalent atoms, fractional coordinates:
Sn1 0.0252 0.2580 0.0000 [6 per cell]
Sn2 0.3333 0.6667 0.6845 [2 per cell]
P1 0.0222 0.6099 0.9743 [6 per cell]
O1 0.0693 0.7132 0.7847 [6 per cell]
O2 0.0906 0.7340 0.1411 [6 per cell]
O3 0.1070 0.5082 0.9567 [6 per cell]
O4 0.1615 0.4981 0.4923 [6 per cell]

Total magnetization   0.999 μB per formula unit

*B*
# Sn4P3O12

An optimized crystal structure of Sn4P3O12 (PBEsol, the Alexandria database).

a b c (Å): 9.3632 9.3632 24.6477
angles (deg): 90.00 90.00 120.00
Space group R3c (No. 161, hexagonal axes)
Inequivalent atoms, fractional coordinates:
Sn1 0.0000 0.0000 0.0000 [6 per cell]
Sn2 0.1366 0.4094 0.3078 [18 per cell]
P1 0.0108 0.4525 0.0994 [18 per cell]
O1 0.0127 0.4770 0.5448 [18 per cell]
O2 0.0574 0.4558 0.4259 [18 per cell]
O3 0.1273 0.3621 0.9792 [18 per cell]
O4 0.1775 0.4651 0.1143 [18 per cell]

Total magnetization   0.990 μB per formula unit

Which is most stable, and by how much? *A*, by 27 meV per atom.

*A*
# Sn2P2O7

An optimized crystal structure of Sn2P2O7 (PBEsol, the Alexandria database).

a b c (Å): 6.897 6.897 25.842
angles (deg): 90.00 90.00 90.00
Space group P4_1 (No. 76)
Inequivalent atoms, fractional coordinates:
Sn1 0.035 0.254 0.000 [4 per cell]
Sn2 0.154 0.408 0.624 [4 per cell]
Sn3 0.183 0.708 0.888 [4 per cell]
Sn4 0.334 0.604 0.240 [4 per cell]
P1 0.107 0.245 0.851 [4 per cell]
P2 0.117 0.747 0.022 [4 per cell]
P3 0.169 0.506 0.762 [4 per cell]
P4 0.314 0.377 0.362 [4 per cell]
O1 0.028 0.931 0.000 [4 per cell]
O2 0.030 0.563 0.720 [4 per cell]
O3 0.041 0.369 0.800 [4 per cell]
O4 0.042 0.394 0.541 [4 per cell]
O5 0.075 0.840 0.374 [4 per cell]
O6 0.086 0.753 0.581 [4 per cell]
O7 0.172 0.427 0.405 [4 per cell]
O8 0.191 0.240 0.323 [4 per cell]
O9 0.222 0.386 0.886 [4 per cell]
O10 0.236 0.681 0.795 [4 per cell]
O11 0.258 0.639 0.985 [4 per cell]
O12 0.259 0.513 0.132 [4 per cell]
O13 0.341 0.382 0.743 [4 per cell]
O14 0.378 0.553 0.329 [4 per cell]

Total magnetization   0.000 μB per formula unit

*B*
# Sn2P2O7

An optimized crystal structure of Sn2P2O7 (PBEsol, the Alexandria database).

a b c (Å): 5.203 9.709 7.244
angles (deg): 90.00 114.69 90.00
Space group P2_1/c (No. 14)
Inequivalent atoms, fractional coordinates:
Sn1 0.156 0.119 0.379 [4 per cell]
P1 0.380 0.610 0.607 [4 per cell]
O1 0.080 0.646 0.459 [4 per cell]
O2 0.395 0.541 0.803 [4 per cell]
O3 0.418 0.232 0.829 [4 per cell]
O4 0.500 0.000 0.000 [2 per cell]

Total magnetization   0.000 μB per formula unit

Which is most stable, and by how much? *B*, by 13 meV per atom.

*A*
# SrP2O2

An optimized crystal structure of SrP2O2 (PBEsol, the Alexandria database).

a b c (Å): 7.056 7.056 3.619
angles (deg): 90.00 90.00 90.00
Space group P4/mbm (No. 127)
Inequivalent atoms, fractional coordinates:
Sr1 0.000 0.000 0.000 [2 per cell]
P1 0.106 0.394 0.000 [4 per cell]
O1 0.150 0.350 0.500 [4 per cell]

Total magnetization   0.000 μB per formula unit

*B*
# SrP2O2

An optimized crystal structure of SrP2O2 (PBEsol, the Alexandria database).

a b c (Å): 4.241 4.241 6.573
angles (deg): 90.00 90.00 90.00
Space group P4/mmm (No. 123)
Inequivalent atoms, fractional coordinates:
Sr1 0.000 0.000 0.000 [1 per cell]
P1 0.000 0.000 0.500 [1 per cell]
P2 0.500 0.500 0.500 [1 per cell]
O1 0.000 0.500 0.000 [2 per cell]

Total magnetization   1.958 μB per formula unit

Which is most stable, and by how much? *A*, by 1381 meV per atom.